a | This record from Alexandria via LeMat-Bulk describes an optimized crystal structure of Cu2RuPt. The functional is GGA-PBE.

Cell lengths 2.714, 4.555, 9.001 Å; angles 90.00, 90.00, 90.00 degrees
Space group Cmm2 (No. 35)
Asymmetric unit:
Cu  0.000  0.000  0.000 [2 per cell]
Cu  0.000  0.500  0.231 [2 per cell]
Ru  0.000  0.000  0.477 [2 per cell]
Pt  0.000  0.500  0.748 [2 per cell]

***

b | This record from Alexandria via LeMat-Bulk describes an optimized crystal structure of Cu2RuPt. The functional is GGA-PBE.

Cell lengths 2.710, 4.567, 8.971 Å; angles 90.00, 90.00, 90.00 degrees
Space group Cmmm (No. 65)
Asymmetric unit:
Cu  0.000  0.000  0.247 [4 per cell]
Ru  0.000  0.500  0.000 [2 per cell]
Pt  0.000  0.500  0.500 [2 per cell]

***

c | This record from Alexandria via LeMat-Bulk describes an optimized crystal structure of Cu2RuPt. The functional is GGA-PBE.

Cell lengths 6.013, 6.013, 6.013 Å; angles 90.00, 90.00, 90.00 degrees
Space group Fm-3m (No. 225)
Asymmetric unit:
Cu  0.250  0.250  0.250 [8 per cell]
Ru  0.000  0.000  0.000 [4 per cell]
Pt  0.000  0.000  0.500 [4 per cell]

***

So which one wins? Going from most stable to least: b, c, a.

***

a | This record from Alexandria via LeMat-Bulk describes an optimized crystal structure of Cu2RuPt. The functional is GGA-PBE.

Cell lengths 6.807, 6.807, 5.209 Å; angles 90.00, 90.00, 90.00 degrees
Space group I-42d (No. 122)
Asymmetric unit:
Cu  0.249  0.250  0.125 [8 per cell]
Ru  0.000  0.000  0.000 [4 per cell]
Pt  0.000  0.000  0.500 [4 per cell]

***

b | This record from Alexandria via LeMat-Bulk describes an optimized crystal structure of Cu2RuPt. The functional is GGA-PBE.

Cell lengths 8.739, 2.658, 4.751 Å; angles 90.00, 99.35, 90.00 degrees
Space group C2/m (No. 12)
Asymmetric unit:
Cu  0.249  0.000  0.243 [4 per cell]
Ru  0.000  0.500  0.000 [2 per cell]
Pt  0.000  0.000  0.500 [2 per cell]

***

So which one wins? Going from most stable to least: b, a.

***

a | This record from Alexandria via LeMat-Bulk describes an optimized crystal structure of Cu2RuPt. The functional is GGA-PBE.

Cell lengths 8.912, 2.676, 4.631 Å; angles 90.00, 99.33, 90.00 degrees
Space group Cm (No. 8)
Asymmetric unit:
Cu  0.000  0.000  0.000 [2 per cell]
Cu  0.249  0.000  0.785 [2 per cell]
Ru  0.000  0.500  0.504 [2 per cell]
Pt  0.252  0.500  0.283 [2 per cell]

***

b | This record from Alexandria via LeMat-Bulk describes an optimized crystal structure of Cu2RuPt. The functional is GGA-PBE.

Cell lengths 6.069, 6.069, 6.069 Å; angles 90.00, 90.00, 90.00 degrees
Space group F-43m (No. 216)
Asymmetric unit:
Cu  0.000  0.000  0.000 [4 per cell]
Cu  0.250  0.250  0.250 [4 per cell]
Ru  0.250  0.250  0.750 [4 per cell]
Pt  0.000  0.000  0.500 [4 per cell]

***

c | This record from Alexandria via LeMat-Bulk describes an optimized crystal structure of Cu2RuPt. The functional is GGA-PBE.

Cell lengths 2.791, 4.424, 8.771 Å; angles 90.00, 90.00, 90.00 degrees
Space group Imm2 (No. 44)
Asymmetric unit:
Cu  0.000  0.000  0.000 [2 per cell]
Cu  0.000  0.500  0.268 [2 per cell]
Ru  0.000  0.500  0.755 [2 per cell]
Pt  0.000  0.000  0.515 [2 per cell]

***

d | This record from Alexandria via LeMat-Bulk describes an optimized crystal structure of Cu2RuPt. The functional is GGA-PBE.

Cell lengths 2.718, 2.718, 7.307 Å; angles 90.00, 90.00, 90.00 degrees
Space group P4mm (No. 99)
Asymmetric unit:
Cu  0.000  0.000  0.000 [1 per cell]
Cu  0.500  0.500  0.227 [1 per cell]
Ru  0.500  0.500  0.749 [1 per cell]
Pt  0.000  0.000  0.488 [1 per cell]

***

So which one wins? Going from most stable to least: d, a, c, b.

***

a | This record from Alexandria via LeMat-Bulk describes an optimized crystal structure of Cu2RuPt. The functional is GGA-PBE.

Cell lengths 2.678, 4.488, 4.621 Å; angles 90.00, 90.00, 90.00 degrees
Space group Pmmm (No. 47)
Asymmetric unit:
Cu  0.000  0.000  0.000 [1 per cell]
Cu  0.500  0.000  0.500 [1 per cell]
Ru  0.000  0.500  0.500 [1 per cell]
Pt  0.500  0.500  0.000 [1 per cell]

***

b | This record from Alexandria via LeMat-Bulk describes an optimized crystal structure of Cu2RuPt. The functional is GGA-PBE.

Cell lengths 4.365, 4.365, 2.839 Å; angles 90.00, 90.00, 90.00 degrees
Space group P4/mmm (No. 123)
Asymmetric unit:
Cu  0.000  0.500  0.000 [2 per cell]
Ru  0.000  0.000  0.500 [1 per cell]
Pt  0.500  0.500  0.500 [1 per cell]

***

So which one wins? Going from most stable to least: a, b.

***

a | This record from Alexandria via LeMat-Bulk describes an optimized crystal structure of CuRu2Pt. The functional is GGA-PBE.

Cell lengths 6.120, 6.120, 6.120 Å; angles 90.00, 90.00, 90.00 degrees
Space group F-43m (No. 216)
Asymmetric unit:
Cu  0.000  0.000  0.000 [4 per cell]
Ru  0.000  0.000  0.500 [4 per cell]
Ru  0.250  0.250  0.750 [4 per cell]
Pt  0.250  0.250  0.250 [4 per cell]

***

b | This record from Alexandria via LeMat-Bulk describes an optimized crystal structure of CuRu2Pt. The functional is GGA-PBE.

Cell lengths 6.105, 6.105, 6.105 Å; angles 90.00, 90.00, 90.00 degrees
Space group Fm-3m (No. 225)
Asymmetric unit:
Cu  0.000  0.000  0.000 [4 per cell]
Ru  0.250  0.250  0.250 [8 per cell]
Pt  0.000  0.000  0.500 [4 per cell]

***

c | This record from Alexandria via LeMat-Bulk describes an optimized crystal structure of CuRu2Pt. The functional is GGA-PBE.

Cell lengths 2.7057, 2.7057, 26.5887 Å; angles 90.00, 90.00, 120.00 degrees
Space group R-3m (No. 166, hexagonal axes)
Asymmetric unit:
Cu  0.0000  0.0000  0.0000 [3 per cell]
Ru  0.0000  0.0000  0.2528 [6 per cell]
Pt  0.0000  0.0000  0.5000 [3 per cell]

***

d | This record from Alexandria via LeMat-Bulk describes an optimized crystal structure of CuRu2Pt. The functional is GGA-PBE.

Cell lengths 2.739, 2.739, 7.469 Å; angles 90.00, 90.00, 90.00 degrees
Space group P4mm (No. 99)
Asymmetric unit:
Cu  0.000  0.000  0.000 [1 per cell]
Ru  0.000  0.000  0.517 [1 per cell]
Ru  0.500  0.500  0.750 [1 per cell]
Pt  0.500  0.500  0.248 [1 per cell]

***

So which one wins? Going from most stable to least: d, c, a, b.

***

a | This record from Alexandria via LeMat-Bulk describes an optimized crystal structure of CuRu2Pt. The functional is GGA-PBE.

Cell lengths 2.802, 4.390, 9.141 Å; angles 90.00, 90.00, 90.00 degrees
Space group Immm (No. 71)
Asymmetric unit:
Cu  0.000  0.000  0.000 [2 per cell]
Ru  0.000  0.500  0.271 [4 per cell]
Pt  0.000  0.000  0.500 [2 per cell]

***

b | This record from Alexandria via LeMat-Bulk describes an optimized crystal structure of CuRu2Pt. The functional is GGA-PBE.

Cell lengths 2.7275, 2.7275, 26.2745 Å; angles 90.00, 90.00, 120.00 degrees
Space group R3m (No. 160, hexagonal axes)
Asymmetric unit:
Cu  0.0000  0.0000  0.0000 [3 per cell]
Ru  0.0000  0.0000  0.2504 [3 per cell]
Ru  0.0000  0.0000  0.5054 [3 per cell]
Pt  0.0000  0.0000  0.7495 [3 per cell]

***

c | This record from Alexandria via LeMat-Bulk describes an optimized crystal structure of CuRu2Pt. The functional is GGA-PBE.

Cell lengths 2.716, 3.932, 5.245 Å; angles 90.00, 90.00, 90.00 degrees
Space group Pmmm (No. 47)
Asymmetric unit:
Cu  0.000  0.000  0.000 [1 per cell]
Ru  0.500  0.500  0.239 [2 per cell]
Pt  0.000  0.000  0.500 [1 per cell]

***

So which one wins? Going from most stable to least: b, c, a.

***

a | This record from Alexandria via LeMat-Bulk describes an optimized crystal structure of CuRu2Pt. The functional is GGA-PBE.

Cell lengths 6.957, 6.957, 5.056 Å; angles 90.00, 90.00, 90.00 degrees
Space group I-42d (No. 122)
Asymmetric unit:
Cu  0.000  0.000  0.000 [4 per cell]
Ru  0.239  0.250  0.125 [8 per cell]
Pt  0.000  0.000  0.500 [4 per cell]

***

b | This record from Alexandria via LeMat-Bulk describes an optimized crystal structure of CuRu2Pt. The functional is GGA-PBE.

Cell lengths 3.806, 3.806, 7.711 Å; angles 90.00, 90.00, 90.00 degrees
Space group I-4m2 (No. 119)
Asymmetric unit:
Cu  0.000  0.000  0.000 [2 per cell]
Ru  0.000  0.000  0.500 [2 per cell]
Ru  0.000  0.500  0.750 [2 per cell]
Pt  0.000  0.500  0.250 [2 per cell]

***

c | This record from Alexandria via LeMat-Bulk describes an optimized crystal structure of CuRu2Pt. The functional is GGA-PBE.

Cell lengths 5.237, 7.981, 2.697 Å; angles 90.00, 90.00, 90.00 degrees
Space group Cmmm (No. 65)
Asymmetric unit:
Cu  0.000  0.000  0.000 [2 per cell]
Ru  0.250  0.250  0.500 [4 per cell]
Pt  0.000  0.500  0.000 [2 per cell]

***

d | This record from Alexandria via LeMat-Bulk describes an optimized crystal structure of CuRu2Pt. The functional is GGA-PBE.

Cell lengths 9.005, 2.709, 4.658 Å; angles 90.00, 99.74, 90.00 degrees
Space group C2/m (No. 12)
Asymmetric unit:
Cu  0.000  0.000  0.000 [2 per cell]
Ru  0.248  0.000  0.757 [4 per cell]
Pt  0.000  0.500  0.500 [2 per cell]

***

So which one wins? Going from most stable to least: b, d, c, a.

***

a | This record from Alexandria via LeMat-Bulk describes an optimized crystal structure of CuRu2Pt. The functional is GGA-PBE.

Cell lengths 3.755, 3.755, 7.920 Å; angles 90.00, 90.00, 90.00 degrees
Space group I4/mmm (No. 139)
Asymmetric unit:
Cu  0.000  0.000  0.000 [2 per cell]
Ru  0.000  0.500  0.250 [4 per cell]
Pt  0.000  0.000  0.500 [2 per cell]

***

b | This record from Alexandria via LeMat-Bulk describes an optimized crystal structure of CuRu2Pt. The functional is GGA-PBE.

Cell lengths 8.918, 2.705, 4.716 Å; angles 90.00, 99.64, 90.00 degrees
Space group Cm (No. 8)
Asymmetric unit:
Cu  0.000  0.000  0.000 [2 per cell]
Ru  0.252  0.500  0.274 [2 per cell]
Ru  0.498  0.000  0.481 [2 per cell]
Pt  0.249  0.000  0.776 [2 per cell]

***

c | This record from Alexandria via LeMat-Bulk describes an optimized crystal structure of CuRu2Pt. The functional is GGA-PBE.

Cell lengths 2.730, 2.730, 7.497 Å; angles 90.00, 90.00, 90.00 degrees
Space group P4/mmm (No. 123)
Asymmetric unit:
Cu  0.000  0.000  0.000 [1 per cell]
Ru  0.500  0.500  0.240 [2 per cell]
Pt  0.000  0.000  0.500 [1 per cell]

***

So which one wins? Going from most stable to least: b, a, c.

***

a | This record from Alexandria via LeMat-Bulk describes an optimized crystal structure of CuRu2Pt. The functional is GGA-PBE.

Cell lengths 4.592, 4.592, 2.716 Å; angles 90.00, 90.00, 90.00 degrees
Space group P4/mmm (No. 123)
Asymmetric unit:
Cu  0.000  0.000  0.000 [1 per cell]
Ru  0.000  0.500  0.500 [2 per cell]
Pt  0.500  0.500  0.000 [1 per cell]

***

b | This record from Alexandria via LeMat-Bulk describes an optimized crystal structure of CuRu2Pt. The functional is GGA-PBE.

Cell lengths 2.740, 3.763, 5.426 Å; angles 90.00, 90.00, 90.00 degrees
Space group Pmm2 (No. 25)
Asymmetric unit:
Cu  0.000  0.000  0.000 [1 per cell]
Ru  0.000  0.000  0.520 [1 per cell]
Ru  0.500  0.500  0.741 [1 per cell]
Pt  0.500  0.500  0.238 [1 per cell]

***

c | This record from Alexandria via LeMat-Bulk describes an optimized crystal structure of CuRu2Pt. The functional is GGA-PBE.

Cell lengths 2.743, 4.609, 9.140 Å; angles 90.00, 90.00, 90.00 degrees
Space group Cmm2 (No. 35)
Asymmetric unit:
Cu  0.000  0.000  0.000 [2 per cell]
Ru  0.000  0.000  0.486 [2 per cell]
Ru  0.000  0.500  0.245 [2 per cell]
Pt  0.000  0.500  0.754 [2 per cell]

***

So which one wins? Going from most stable to least: b, c, a.

***

a | This record from Alexandria via LeMat-Bulk describes an optimized crystal structure of TaCuRuPt. The functional is GGA-PBE.

Cell lengths 3.628, 3.885, 4.187 Å; angles 90.00, 90.00, 90.00 degrees
Space group Pmmm (No. 47)
Asymmetric unit:
Ta  0.000  0.000  0.000 [1 per cell]
Cu  0.000  0.500  0.500 [1 per cell]
Ru  0.500  0.500  0.000 [1 per cell]
Pt  0.500  0.000  0.500 [1 per cell]

***

b | This record from Alexandria via LeMat-Bulk describes an optimized crystal structure of TaCuRuPt. The functional is GGA-PBE.

Cell lengths 6.208, 6.208, 6.208 Å; angles 90.00, 90.00, 90.00 degrees
Space group F-43m (No. 216)
Asymmetric unit:
Ta  0.000  0.000  0.000 [4 per cell]
Cu  0.000  0.000  0.500 [4 per cell]
Ru  0.250  0.250  0.750 [4 per cell]
Pt  0.250  0.250  0.250 [4 per cell]

***

So which one wins? Going from most stable to least: a, b.